Dy3Mg3Ag2Pt: relaxed, PBE.

Cell and atoms, written as POSCAR:
```
Dy3Mg3Ag2Pt
1.0
7.479 0.000 0.000
-3.740 6.477 0.000
0.000 0.000 4.246
Dy Mg Ag Pt
3 3 2 1
Direct
0.000 0.401 0.000
0.401 0.000 0.000
0.599 0.599 0.000
0.000 0.761 0.500
0.239 0.239 0.500
0.761 0.000 0.500
0.333 0.667 0.500
0.667 0.333 0.500
0.000 0.000 0.000
```

Results
As for the total DFT energy (no corrections): -34.578 eV/f.u. The calculation puts the volume at 22.86 Å³/atom. The calculation puts the magnetic moment at 0.0 μB/f.u.